# 1
# PBE PaTlC2O8, optimized geometry
# formation energy from raw total energies = -1.6171 eV per atom
# volume = 12.8 Å³ per atom
data_PaTlC2O8
_space_group_name_H-M_alt 'P 1'
_space_group_IT_number 1
_cell_length_a 4.806
_cell_length_b 4.806
_cell_length_c 7.304
_cell_angle_alpha 94.96
_cell_angle_beta 94.96
_cell_angle_gamma 66.26
loop_
_space_group_symop_operation_xyz
'x,y,z'
loop_
_atom_site_label
_atom_site_type_symbol
_atom_site_fract_x
_atom_site_fract_y
_atom_site_fract_z
O1 O 0.778 0.340 0.226
O2 O 0.340 0.778 0.226
O3 O 0.234 0.234 0.892
O4 O 0.766 0.766 0.108
O5 O 0.222 0.660 0.774
O6 O 0.660 0.222 0.774
O7 O 0.741 0.741 0.425
O8 O 0.259 0.259 0.575
C1 C 0.338 0.338 0.750
C2 C 0.662 0.662 0.250
Pa1 Pa 0.000 0.000 0.000
Tl1 Tl 0.000 0.000 0.500

# 2
# PBE UPaCO, optimized geometry
# formation energy from raw total energies = -0.9120 eV per atom
# volume = 16.4 Å³ per atom
data_UPaCO
_space_group_name_H-M_alt 'P 1'
_space_group_IT_number 1
_cell_length_a 3.969
_cell_length_b 3.969
_cell_length_c 8.316
_cell_angle_alpha 90.00
_cell_angle_beta 90.00
_cell_angle_gamma 90.00
loop_
_space_group_symop_operation_xyz
'x,y,z'
loop_
_atom_site_label
_atom_site_type_symbol
_atom_site_fract_x
_atom_site_fract_y
_atom_site_fract_z
C1 C 0.500 0.000 0.184
C2 C 0.000 0.500 0.816
U1 U 0.000 0.500 0.355
U2 U 0.500 0.000 0.645
O1 O 0.000 0.000 0.500
O2 O 0.500 0.500 0.500
Pa1 Pa 0.000 0.000 0.000
Pa2 Pa 0.500 0.500 0.000

# 3
# PBE PbC2O2, optimized geometry
# formation energy from raw total energies = 1.7167 eV per atom
# offset from the most stable computed form = 3.41 eV/f.u.
# volume = 11.0 Å³ per atom
data_PbC2O2
_space_group_name_H-M_alt 'P 1'
_space_group_IT_number 1
_cell_length_a 2.867
_cell_length_b 2.867
_cell_length_c 6.982
_cell_angle_alpha 78.15
_cell_angle_beta 78.15
_cell_angle_gamma 90.00
loop_
_space_group_symop_operation_xyz
'x,y,z'
loop_
_atom_site_label
_atom_site_type_symbol
_atom_site_fract_x
_atom_site_fract_y
_atom_site_fract_z
O1 O 0.394 0.394 0.213
O2 O 0.606 0.606 0.787
C1 C 0.250 0.750 0.500
C2 C 0.750 0.250 0.500
Pb1 Pb 0.000 0.000 0.000

# 4
# PBE PbCO3, optimized geometry
# formation energy from raw total energies = -1.3762 eV per atom
# volume = 15.0 Å³ per atom
data_PbCO3
_space_group_name_H-M_alt 'P 1'
_space_group_IT_number 1
_cell_length_a 5.385
_cell_length_b 7.217
_cell_length_c 7.732
_cell_angle_alpha 90.00
_cell_angle_beta 90.00
_cell_angle_gamma 90.00
loop_
_space_group_symop_operation_xyz
'x,y,z'
loop_
_atom_site_label
_atom_site_type_symbol
_atom_site_fract_x
_atom_site_fract_y
_atom_site_fract_z
O1 O 0.737 0.660 0.440
O2 O 0.058 0.469 0.167
O3 O 0.558 0.031 0.667
O4 O 0.942 0.531 0.667
O5 O 0.237 0.840 0.940
O6 O 0.107 0.773 0.524
O7 O 0.442 0.969 0.167
O8 O 0.893 0.227 0.024
O9 O 0.393 0.273 0.524
O10 O 0.607 0.727 0.024
O11 O 0.263 0.340 0.940
O12 O 0.763 0.160 0.440
C1 C 0.570 0.151 0.545
C2 C 0.930 0.651 0.545
C3 C 0.430 0.849 0.045
C4 C 0.070 0.349 0.045
Pb1 Pb 0.900 0.902 0.235
Pb2 Pb 0.600 0.402 0.235
Pb3 Pb 0.100 0.098 0.735
Pb4 Pb 0.400 0.598 0.735

# 5
# PBE PbCO2, optimized geometry
# formation energy from raw total energies = 0.4930 eV per atom
# offset from the most stable computed form = 5.17 eV/f.u.
# volume = 12.8 Å³ per atom
data_PbCO2
_space_group_name_H-M_alt 'P 1'
_space_group_IT_number 1
_cell_length_a 5.249
_cell_length_b 5.249
_cell_length_c 5.252
_cell_angle_alpha 60.02
_cell_angle_beta 60.02
_cell_angle_gamma 90.00
loop_
_space_group_symop_operation_xyz
'x,y,z'
loop_
_atom_site_label
_atom_site_type_symbol
_atom_site_fract_x
_atom_site_fract_y
_atom_site_fract_z
Pb1 Pb 0.750 0.250 0.500
Pb2 Pb 0.000 0.000 0.000
C1 C 0.500 0.500 0.000
C2 C 0.250 0.750 0.500
O1 O 0.375 0.625 0.750
O2 O 0.375 0.625 0.250
O3 O 0.375 0.125 0.250
O4 O 0.875 0.625 0.750

# 6
# PBE PbCO2, optimized geometry
# formation energy from raw total energies = 1.0585 eV per atom
# offset from the most stable computed form = 7.44 eV/f.u.
# volume = 13.0 Å³ per atom
data_PbCO2
_space_group_name_H-M_alt 'P 1'
_space_group_IT_number 1
_cell_length_a 6.932
_cell_length_b 6.932
_cell_length_c 6.932
_cell_angle_alpha 24.89
_cell_angle_beta 24.89
_cell_angle_gamma 24.89
loop_
_space_group_symop_operation_xyz
'x,y,z'
loop_
_atom_site_label
_atom_site_type_symbol
_atom_site_fract_x
_atom_site_fract_y
_atom_site_fract_z
O1 O 0.878 0.878 0.878
O2 O 0.122 0.122 0.122
Pb1 Pb 0.000 0.000 0.000
C1 C 0.500 0.500 0.500

# 7
# PBE Pb3C2O8, optimized geometry
# formation energy from raw total energies = -1.0159 eV per atom
# volume = 12.6 Å³ per atom
data_Pb3C2O8
_space_group_name_H-M_alt 'P 1'
_space_group_IT_number 1
_cell_length_a 5.139
_cell_length_b 5.139
_cell_length_c 7.751
_cell_angle_alpha 70.64
_cell_angle_beta 70.64
_cell_angle_gamma 60.00
loop_
_space_group_symop_operation_xyz
'x,y,z'
loop_
_atom_site_label
_atom_site_type_symbol
_atom_site_fract_x
_atom_site_fract_y
_atom_site_fract_z
Pb1 Pb 0.000 0.000 0.000
Pb2 Pb 0.779 0.779 0.664
Pb3 Pb 0.221 0.221 0.336
O1 O 0.289 0.739 0.232
O2 O 0.711 0.261 0.768
O3 O 0.739 0.739 0.232
O4 O 0.261 0.261 0.768
O5 O 0.739 0.289 0.232
O6 O 0.324 0.324 0.028
O7 O 0.261 0.711 0.768
O8 O 0.676 0.676 0.972
C1 C 0.614 0.614 0.158
C2 C 0.386 0.386 0.842

# 8
# PBE PbCO3, optimized geometry
# formation energy from raw total energies = 1.4506 eV per atom
# volume = 14.3 Å³ per atom
data_PbCO3
_space_group_name_H-M_alt 'P 1'
_space_group_IT_number 1
_cell_length_a 4.152
_cell_length_b 4.152
_cell_length_c 4.152
_cell_angle_alpha 90.00
_cell_angle_beta 90.00
_cell_angle_gamma 90.00
loop_
_space_group_symop_operation_xyz
'x,y,z'
loop_
_atom_site_label
_atom_site_type_symbol
_atom_site_fract_x
_atom_site_fract_y
_atom_site_fract_z
O1 O 0.000 0.000 0.500
O2 O 0.000 0.500 0.000
O3 O 0.500 0.000 0.000
Pb1 Pb 0.000 0.000 0.000
C1 C 0.500 0.500 0.500

# 9
# PBE PbCO3, optimized geometry
# formation energy from raw total energies = 0.3708 eV per atom
# volume = 9.3 Å³ per atom
data_PbCO3
_space_group_name_H-M_alt 'P 1'
_space_group_IT_number 1
_cell_length_a 3.596
_cell_length_b 3.596
_cell_length_c 3.596
_cell_angle_alpha 90.00
_cell_angle_beta 90.00
_cell_angle_gamma 90.00
loop_
_space_group_symop_operation_xyz
'x,y,z'
loop_
_atom_site_label
_atom_site_type_symbol
_atom_site_fract_x
_atom_site_fract_y
_atom_site_fract_z
O1 O 0.500 0.000 0.000
O2 O 0.000 0.000 0.500
O3 O 0.000 0.500 0.000
C1 C 0.000 0.000 0.000
Pb1 Pb 0.500 0.500 0.500

# 10
# PBE Pb2CO6, optimized geometry
# formation energy from raw total energies = -0.1299 eV per atom
# offset from the most stable computed form = 2.55 eV/f.u.
# volume = 13.6 Å³ per atom
data_Pb2CO6
_space_group_name_H-M_alt 'P 1'
_space_group_IT_number 1
_cell_length_a 5.265
_cell_length_b 5.265
_cell_length_c 8.851
_cell_angle_alpha 90.00
_cell_angle_beta 90.00
_cell_angle_gamma 90.00
loop_
_space_group_symop_operation_xyz
'x,y,z'
loop_
_atom_site_label
_atom_site_type_symbol
_atom_site_fract_x
_atom_site_fract_y
_atom_site_fract_z
O1 O 0.151 0.849 0.879
O2 O 0.694 0.694 0.000
O3 O 0.349 0.349 0.621
O4 O 0.194 0.806 0.500
O5 O 0.306 0.306 0.000
O6 O 0.651 0.651 0.621
O7 O 0.151 0.849 0.121
O8 O 0.806 0.194 0.500
O9 O 0.849 0.151 0.121
O10 O 0.349 0.349 0.379
O11 O 0.849 0.151 0.879
O12 O 0.651 0.651 0.379
C1 C 0.500 0.500 0.500
C2 C 0.000 0.000 0.000
Pb1 Pb 0.000 0.000 0.673
Pb2 Pb 0.500 0.500 0.827
Pb3 Pb 0.500 0.500 0.173
Pb4 Pb 0.000 0.000 0.327

# 11
# PBE Pb2CO6, optimized geometry
# formation energy from raw total energies = -0.4131 eV per atom
# offset from the most stable computed form = 0.00 eV/f.u.
# volume = 18.4 Å³ per atom
data_Pb2CO6
_space_group_name_H-M_alt 'P 1'
_space_group_IT_number 1
_cell_length_a 8.522
_cell_length_b 8.522
_cell_length_c 8.522
_cell_angle_alpha 33.22
_cell_angle_beta 33.22
_cell_angle_gamma 33.22
loop_
_space_group_symop_operation_xyz
'x,y,z'
loop_
_atom_site_label
_atom_site_type_symbol
_atom_site_fract_x
_atom_site_fract_y
_atom_site_fract_z
O1 O 0.289 0.748 0.289
O2 O 0.878 0.878 0.878
O3 O 0.326 0.326 0.326
O4 O 0.748 0.289 0.289
O5 O 0.574 0.574 0.574
O6 O 0.289 0.289 0.748
Pb1 Pb 0.238 0.238 0.238
Pb2 Pb 0.788 0.788 0.788
C1 C 0.441 0.441 0.441

# 12
# PBE PbC3O, optimized geometry
# formation energy from raw total energies = 4.0360 eV per atom
# offset from the most stable computed form = 5.53 eV/f.u.
# volume = 18.1 Å³ per atom
data_PbC3O
_space_group_name_H-M_alt 'P 1'
_space_group_IT_number 1
_cell_length_a 4.490
_cell_length_b 4.490
_cell_length_c 4.490
_cell_angle_alpha 90.00
_cell_angle_beta 90.00
_cell_angle_gamma 90.00
loop_
_space_group_symop_operation_xyz
'x,y,z'
loop_
_atom_site_label
_atom_site_type_symbol
_atom_site_fract_x
_atom_site_fract_y
_atom_site_fract_z
C1 C 0.500 0.000 0.000
C2 C 0.000 0.000 0.500
C3 C 0.000 0.500 0.000
O1 O 0.500 0.500 0.500
Pb1 Pb 0.000 0.000 0.000